# CsCu5Te3 (PBE, optimized geometry)
# uncorrected energy: -30.8 eV per formula unit
data_CsCu5Te3
_chemical_formula_sum 'Cs4 Cu20 Te12'
_cell_length_a 13.830
_cell_length_b 13.830
_cell_length_c 4.229
_cell_angle_alpha 90.00
_cell_angle_beta 90.00
_cell_angle_gamma 90.00
_symmetry_space_group_name_H-M 'P 42/m n m'
_symmetry_Int_Tables_number 136
_symmetry_space_group_name_Hall '-P 4n 2n'
loop_
_atom_site_label
_atom_site_type_symbol
_atom_site_fract_x
_atom_site_fract_y
_atom_site_fract_z
_atom_site_occupancy
Cs1 Cs 0.109 0.109 0.000 1
Cu1 Cu 0.018 0.407 0.000 1
Cu2 Cu 0.080 0.702 0.500 1
Cu3 Cu 0.190 0.810 0.000 1
Te1 Te 0.113 0.330 0.500 1
Te2 Te 0.114 0.886 0.500 1


# CsThCuTe3 (PBE, optimized geometry)
# spin magnetization: 0.0 Bohr magnetons per cell
# uncorrected energy: -27.5 eV per formula unit
data_CsThCuTe3
_chemical_formula_sum 'Cs4 Th4 Cu4 Te12'
_cell_length_a 4.464
_cell_length_b 17.099
_cell_length_c 11.707
_cell_angle_alpha 90.00
_cell_angle_beta 90.00
_cell_angle_gamma 90.00
_symmetry_space_group_name_H-M 'C m c m'
_symmetry_Int_Tables_number 63
_symmetry_space_group_name_Hall '-C 2c 2'
loop_
_atom_site_label
_atom_site_type_symbol
_atom_site_fract_x
_atom_site_fract_y
_atom_site_fract_z
_atom_site_occupancy
Cs1 Cs 0.000 0.243 0.250 1
Th1 Th 0.000 0.500 0.000 1
Cu1 Cu 0.000 0.032 0.750 1
Te1 Te 0.000 0.122 0.564 1
Te2 Te 0.000 0.440 0.750 1


# CsTm2Cu3Te5 (PBE, optimized geometry)
# spin magnetization: 0.0 Bohr magnetons per cell
# uncorrected energy: -45.6 eV per formula unit
data_CsTm2Cu3Te5
_chemical_formula_sum 'Cs4 Tm8 Cu12 Te20'
_cell_length_a 4.356
_cell_length_b 15.544
_cell_length_c 18.252
_cell_angle_alpha 90.00
_cell_angle_beta 90.00
_cell_angle_gamma 90.00
_symmetry_space_group_name_H-M 'C m c m'
_symmetry_Int_Tables_number 63
_symmetry_space_group_name_Hall '-C 2c 2'
loop_
_atom_site_label
_atom_site_type_symbol
_atom_site_fract_x
_atom_site_fract_y
_atom_site_fract_z
_atom_site_occupancy
Cs1 Cs 0.000 0.057 0.250 1
Tm1 Tm 0.000 0.192 0.590 1
Cu1 Cu 0.000 0.345 0.250 1
Cu2 Cu 0.000 0.417 0.527 1
Te1 Te 0.000 0.166 0.072 1
Te2 Te 0.000 0.243 0.750 1
Te3 Te 0.000 0.441 0.116 1


# CsTm2CuTe4 (PBE, optimized geometry)
# spin magnetization: 0.0 Bohr magnetons per cell
# uncorrected energy: -34.9 eV per formula unit
data_CsTm2CuTe4
_chemical_formula_sum 'Cs4 Tm8 Cu4 Te16'
_cell_length_a 4.402
_cell_length_b 15.480
_cell_length_c 15.461
_cell_angle_alpha 90.00
_cell_angle_beta 90.00
_cell_angle_gamma 90.00
_symmetry_space_group_name_H-M 'C m c m'
_symmetry_Int_Tables_number 63
_symmetry_space_group_name_Hall '-C 2c 2'
loop_
_atom_site_label
_atom_site_type_symbol
_atom_site_fract_x
_atom_site_fract_y
_atom_site_fract_z
_atom_site_occupancy
Cs1 Cs 0.000 0.111 0.250 1
Tm1 Tm 0.000 0.368 0.064 1
Cu1 Cu 0.000 0.166 0.750 1
Te1 Te 0.000 0.000 0.000 1
Te2 Te 0.000 0.259 0.606 1
Te3 Te 0.000 0.426 0.250 1


# CsCu3Te4W (PBE, optimized geometry)
# spin magnetization: 1.9 Bohr magnetons per cell
# uncorrected energy: -36.3 eV per formula unit
data_CsCu3Te4W
_chemical_formula_sum 'Cs1 Cu3 Te4 W1'
_cell_length_a 6.759
_cell_length_b 6.759
_cell_length_c 6.759
_cell_angle_alpha 90.00
_cell_angle_beta 90.00
_cell_angle_gamma 90.00
_symmetry_space_group_name_H-M 'P -4 3 m'
_symmetry_Int_Tables_number 215
_symmetry_space_group_name_Hall 'P -4 2 3'
loop_
_atom_site_label
_atom_site_type_symbol
_atom_site_fract_x
_atom_site_fract_y
_atom_site_fract_z
_atom_site_occupancy
Cs1 Cs 0.000 0.000 0.000 1
Cu1 Cu 0.000 0.500 0.500 1
Te1 Te 0.281 0.281 0.281 1
W1 W 0.500 0.500 0.500 1


# CsYCuTe3 (PBE, optimized geometry)
# spin magnetization: 0.0 Bohr magnetons per cell
# uncorrected energy: -26.1 eV per formula unit
data_CsYCuTe3
_chemical_formula_sum 'Cs2 Y2 Cu2 Te6'
_cell_length_a 10.544
_cell_length_b 4.278
_cell_length_c 10.785
_cell_angle_alpha 90.00
_cell_angle_beta 115.73
_cell_angle_gamma 90.00
_symmetry_space_group_name_H-M 'P 1 21/m 1'
_symmetry_Int_Tables_number 11
_symmetry_space_group_name_Hall '-P 2yb'
loop_
_atom_site_label
_atom_site_type_symbol
_atom_site_fract_x
_atom_site_fract_y
_atom_site_fract_z
_atom_site_occupancy
Cs1 Cs 0.221 0.250 0.249 1
Y1 Y 0.321 0.750 0.857 1
Cu1 Cu 0.084 0.250 0.600 1
Te1 Te 0.114 0.250 0.855 1
Te2 Te 0.193 0.750 0.537 1
Te3 Te 0.481 0.750 0.172 1


# CsZrCu3Te4 (PBE, optimized geometry)
# spin magnetization: 0.0 Bohr magnetons per cell
# E above lowest polymorph: 0.000 eV/atom
data_CsZrCu3Te4
_chemical_formula_sum 'Cs2 Zr2 Cu6 Te8'
_cell_length_a 6.256
_cell_length_b 8.295
_cell_length_c 11.009
_cell_angle_alpha 90.00
_cell_angle_beta 105.89
_cell_angle_gamma 90.00
_symmetry_space_group_name_H-M 'P 1 21/m 1'
_symmetry_Int_Tables_number 11
_symmetry_space_group_name_Hall '-P 2yb'
loop_
_atom_site_label
_atom_site_type_symbol
_atom_site_fract_x
_atom_site_fract_y
_atom_site_fract_z
_atom_site_occupancy
Cs1 Cs 0.181 0.250 0.386 1
Zr1 Zr 0.147 0.250 0.794 1
Cu1 Cu 0.287 0.507 0.998 1
Cu2 Cu 0.339 0.750 0.185 1
Te1 Te 0.022 0.250 0.018 1
Te2 Te 0.224 0.750 0.402 1
Te3 Te 0.407 0.517 0.786 1


# CsZrCu3Te4 (PBE, optimized geometry)
# spin magnetization: 0.0 Bohr magnetons per cell
# E above lowest polymorph: 0.251 eV/atom
data_CsZrCu3Te4
_chemical_formula_sum 'Cs1 Zr1 Cu3 Te4'
_cell_length_a 6.853
_cell_length_b 6.853
_cell_length_c 6.853
_cell_angle_alpha 90.00
_cell_angle_beta 90.00
_cell_angle_gamma 90.00
_symmetry_space_group_name_H-M 'P -4 3 m'
_symmetry_Int_Tables_number 215
_symmetry_space_group_name_Hall 'P -4 2 3'
loop_
_atom_site_label
_atom_site_type_symbol
_atom_site_fract_x
_atom_site_fract_y
_atom_site_fract_z
_atom_site_occupancy
Cs1 Cs 0.000 0.000 0.000 1
Zr1 Zr 0.500 0.500 0.500 1
Cu1 Cu 0.000 0.500 0.500 1
Te1 Te 0.275 0.275 0.275 1


# CsTlCu (PBE, optimized geometry)
# E above lowest polymorph: 0.130 eV/atom
data_CsTlCu
_chemical_formula_sum 'Cs4 Tl4 Cu4'
_cell_length_a 7.978
_cell_length_b 7.978
_cell_length_c 7.978
_cell_angle_alpha 90.00
_cell_angle_beta 90.00
_cell_angle_gamma 90.00
_symmetry_space_group_name_H-M 'F -4 3 m'
_symmetry_Int_Tables_number 216
_symmetry_space_group_name_Hall 'F -4 2 3'
loop_
_atom_site_label
_atom_site_type_symbol
_atom_site_fract_x
_atom_site_fract_y
_atom_site_fract_z
_atom_site_occupancy
Cs1 Cs 0.000 0.000 0.000 1
Tl1 Tl 0.250 0.250 0.250 1
Cu1 Cu 0.000 0.000 0.500 1


# CsTlCu (PBE, optimized geometry)
# E above lowest polymorph: 0.317 eV/atom
data_CsTlCu
_chemical_formula_sum 'Cs4 Tl4 Cu4'
_cell_length_a 8.256
_cell_length_b 8.256
_cell_length_c 8.256
_cell_angle_alpha 90.00
_cell_angle_beta 90.00
_cell_angle_gamma 90.00
_symmetry_space_group_name_H-M 'F -4 3 m'
_symmetry_Int_Tables_number 216
_symmetry_space_group_name_Hall 'F -4 2 3'
loop_
_atom_site_label
_atom_site_type_symbol
_atom_site_fract_x
_atom_site_fract_y
_atom_site_fract_z
_atom_site_occupancy
Cs1 Cs 0.000 0.000 0.000 1
Tl1 Tl 0.250 0.250 0.250 1
Cu1 Cu 0.250 0.250 0.750 1


# CsTlCu (PBE, optimized geometry)
# E above lowest polymorph: 0.000 eV/atom
data_CsTlCu
_chemical_formula_sum 'Cs4 Tl4 Cu4'
_cell_length_a 7.818
_cell_length_b 7.818
_cell_length_c 7.818
_cell_angle_alpha 90.00
_cell_angle_beta 90.00
_cell_angle_gamma 90.00
_symmetry_space_group_name_H-M 'F -4 3 m'
_symmetry_Int_Tables_number 216
_symmetry_space_group_name_Hall 'F -4 2 3'
loop_
_atom_site_label
_atom_site_type_symbol
_atom_site_fract_x
_atom_site_fract_y
_atom_site_fract_z
_atom_site_occupancy
Cs1 Cs 0.000 0.000 0.000 1
Tl1 Tl 0.000 0.000 0.500 1
Cu1 Cu 0.250 0.250 0.250 1


# CsTmCu (PBE, optimized geometry)
# spin magnetization: 0.1 Bohr magnetons per cell
# E above lowest polymorph: 0.000 eV/atom
data_CsTmCu
_chemical_formula_sum 'Cs4 Tm4 Cu4'
_cell_length_a 7.511
_cell_length_b 7.511
_cell_length_c 7.511
_cell_angle_alpha 90.00
_cell_angle_beta 90.00
_cell_angle_gamma 90.00
_symmetry_space_group_name_H-M 'F -4 3 m'
_symmetry_Int_Tables_number 216
_symmetry_space_group_name_Hall 'F -4 2 3'
loop_
_atom_site_label
_atom_site_type_symbol
_atom_site_fract_x
_atom_site_fract_y
_atom_site_fract_z
_atom_site_occupancy
Cs1 Cs 0.000 0.000 0.000 1
Tm1 Tm 0.000 0.000 0.500 1
Cu1 Cu 0.250 0.250 0.250 1


Number 1: volume 22.47 A^3/atom. Number 2: volume 37.23 A^3/atom. Number 3: volume 28.09 A^3/atom. Number 4: volume 32.92 A^3/atom. Number 5: volume 34.31 A^3/atom. Number 6: volume 36.52 A^3/atom. Number 7: volume 30.53 A^3/atom. Number 8: volume 35.77 A^3/atom. Number 9: volume 42.31 A^3/atom. Number 10: volume 46.90 A^3/atom. Number 11: volume 39.81 A^3/atom. Number 12: volume 35.30 A^3/atom.